(1)
# Bi3TeW PBE relaxed
data_Bi3TeW
_cell_length_a 5.395
_cell_length_b 5.395
_cell_length_c 5.395
_cell_angle_alpha 90.00
_cell_angle_beta 90.00
_cell_angle_gamma 90.00
_space_group_name_H-M_alt 'P m -3 m'
_space_group_IT_number 221
_space_group_name_Hall '-P 4 2 3'
loop_
_atom_site_label
_atom_site_type_symbol
_atom_site_fract_x
_atom_site_fract_y
_atom_site_fract_z
Bi1 Bi 0.000 0.000 0.500
Te1 Te 0.500 0.500 0.500
W1 W 0.000 0.000 0.000
# * excess energy over the best structure of this formula in the dataset: 0 meV/atom
# * E_form (uncorrected): 0.5896 eV/atom

***

(2)
# BiTeW2 PBE relaxed
data_BiTeW2
_cell_length_a 6.285
_cell_length_b 6.285
_cell_length_c 12.421
_cell_angle_alpha 90.00
_cell_angle_beta 90.00
_cell_angle_gamma 90.00
_space_group_name_H-M_alt 'I -4 2 d'
_space_group_IT_number 122
_space_group_name_Hall 'I -4 2bw'
loop_
_atom_site_label
_atom_site_type_symbol
_atom_site_fract_x
_atom_site_fract_y
_atom_site_fract_z
Bi1 Bi 0.000 0.000 0.000
Te1 Te 0.000 0.000 0.500
W1 W 0.235 0.250 0.625
# * excess energy over the best structure of this formula in the dataset: 727 meV/atom
# * E_form (uncorrected): 1.7295 eV/atom

***

(3)
# BiTe8W4 PBE relaxed
data_BiTe8W4
_cell_length_a 7.0616
_cell_length_b 7.0616
_cell_length_c 27.5202
_cell_angle_alpha 90.00
_cell_angle_beta 90.00
_cell_angle_gamma 120.00
_space_group_name_H-M_alt 'R -3 m'
_space_group_IT_number 166
_space_group_name_Hall '-R 3 2"'
loop_
_atom_site_label
_atom_site_type_symbol
_atom_site_fract_x
_atom_site_fract_y
_atom_site_fract_z
Bi1 Bi 0.0000 0.0000 0.0000
Te1 Te 0.0000 0.0000 0.2342
Te2 Te 0.0013 0.5007 0.7658
W1 W 0.0000 0.0000 0.5000
W2 W 0.0000 0.5000 0.5000
# * E_form (uncorrected): 0.2341 eV/atom

***

(4)
# BiTe2W PBE relaxed
data_BiTe2W
_cell_length_a 3.1702
_cell_length_b 3.1702
_cell_length_c 38.2142
_cell_angle_alpha 90.00
_cell_angle_beta 90.00
_cell_angle_gamma 120.00
_space_group_name_H-M_alt 'R -3 m'
_space_group_IT_number 166
_space_group_name_Hall '-R 3 2"'
loop_
_atom_site_label
_atom_site_type_symbol
_atom_site_fract_x
_atom_site_fract_y
_atom_site_fract_z
Bi1 Bi 0.0000 0.0000 0.0000
Te1 Te 0.0000 0.0000 0.4290
W1 W 0.0000 0.0000 0.5000
# * E_form (uncorrected): 0.8531 eV/atom